[1]
DFT (meta-GGA SCAN) results for FeGeN2F at its PBEsol-relaxed geometry.

Cell lengths 3.616, 3.616, 4.003 Å; angles 90.00, 90.00, 90.00 degrees
Space group P4/mmm (No. 123)
Symmetry-distinct sites (fractional):
Fe 0.000 0.000 0.000 [1 per cell]
Ge 0.500 0.500 0.500 [1 per cell]
N 0.000 0.500 0.000 [2 per cell]
F 0.000 0.000 0.500 [1 per cell]

Properties
E (eV/atom): -11.597
Energy relative to the elements, uncorrected (meV per atom): 271

***

[2]
DFT (meta-GGA SCAN) results for K4Na2FeH3F12 at its PBEsol-relaxed geometry.

Cell lengths 5.730, 5.891, 8.346 Å; angles 90.00, 94.06, 90.00 degrees
Space group P2 (No. 3)
Symmetry-distinct sites (fractional):
K 0.018 0.000 0.229 [2 per cell]
K 0.441 0.517 0.743 [2 per cell]
Na 0.000 0.501 0.000 [1 per cell]
Na 0.500 0.028 0.500 [1 per cell]
Fe 0.500 0.005 0.000 [1 per cell]
H 0.000 0.776 0.500 [1 per cell]
H 0.132 0.410 0.371 [2 per cell]
F 0.028 0.496 0.262 [2 per cell]
F 0.200 0.793 0.513 [2 per cell]
F 0.248 0.310 0.460 [2 per cell]
F 0.270 0.779 0.994 [2 per cell]
F 0.271 0.228 0.994 [2 per cell]
F 0.490 0.005 0.776 [2 per cell]

Properties
E (eV/atom): -7.689

***

Which of these has the highest E?
K4Na2FeH3F12

***

Look up the E of the second one.
-7.689 eV/atom

***

Among the records above, which one has the lowest E?
FeGeN2F

***

Which of these has the highest E?
K4Na2FeH3F12